Ca3Al2Ge3: optimized geometry, PBE-GGA.

abc: 7.3677 14.4335 7.2477
angles: 90.00 90.00 90.00
With the nearest neighbours (Å) after each atom.
Atoms (fractional coordinates):
Ca: 0.0126 0.1063 0.1930  6 Ge 3.07-3.32, 3 Al 3.26-3.42
Ca: 0.0126 0.3937 0.1930  6 Ge 3.07-3.32, 3 Al 3.26-3.42
Ca: 0.1734 0.2500 0.6232  4 Ge 2.87-3.13
Ca: 0.3266 0.7500 0.1232  4 Ge 2.87-3.13
Ca: 0.4874 0.6063 0.6930  6 Ge 3.07-3.32, 3 Al 3.26-3.42
Ca: 0.4874 0.8937 0.6930  6 Ge 3.07-3.32, 3 Al 3.26-3.42
Ca: 0.5126 0.1063 0.3070  6 Ge 3.07-3.32, 3 Al 3.26-3.42
Ca: 0.5126 0.3937 0.3070  6 Ge 3.07-3.32, 3 Al 3.26-3.42
Ca: 0.6734 0.2500 0.8768  4 Ge 2.87-3.13
Ca: 0.8266 0.7500 0.3768  4 Ge 2.87-3.13
Ca: 0.9874 0.6063 0.8070  6 Ge 3.07-3.32, 3 Al 3.26-3.42
Ca: 0.9874 0.8937 0.8070  6 Ge 3.07-3.32, 3 Al 3.26-3.42
Al: 0.1371 0.5911 0.3845  4 Ge 2.56-2.62
Al: 0.1371 0.9089 0.3845  4 Ge 2.56-2.62
Al: 0.3629 0.0911 0.8845  4 Ge 2.56-2.62
Al: 0.3629 0.4089 0.8845  4 Ge 2.56-2.62
Al: 0.6371 0.5911 0.1155  4 Ge 2.56-2.62
Al: 0.6371 0.9089 0.1155  4 Ge 2.56-2.62
Al: 0.8629 0.0911 0.6155  4 Ge 2.56-2.62
Al: 0.8629 0.4089 0.6155  4 Ge 2.56-2.62
Ge: 0.2077 0.0531 0.5780  3 Al 2.56-2.61
Ge: 0.2077 0.4469 0.5780  3 Al 2.56-2.61
Ge: 0.2198 0.7500 0.5385  2 Al 2.62
Ge: 0.2802 0.2500 0.0385  2 Al 2.62
Ge: 0.2923 0.5531 0.0780  3 Al 2.56-2.61
Ge: 0.2923 0.9469 0.0780  3 Al 2.56-2.61
Ge: 0.7077 0.0531 0.9220  3 Al 2.56-2.61
Ge: 0.7077 0.4469 0.9220  3 Al 2.56-2.61
Ge: 0.7198 0.7500 0.9615  2 Al 2.62
Ge: 0.7802 0.2500 0.4615  2 Al 2.62
Ge: 0.7923 0.5531 0.4220  3 Al 2.56-2.61
Ge: 0.7923 0.9469 0.4220  3 Al 2.56-2.61

Values from the calculation:
DFT total energy: -126.3 eV for the cell shown
DFT formation energy: -4.2 eV/f.u.

=====

YIn2Si2: optimized geometry, PBE-GGA.

abc: 7.4652 7.4652 3.9738
angles: 90.00 90.00 90.00
With the nearest neighbours (Å) after each atom.
Atoms (fractional coordinates):
Y: 0.0000 0.0000 0.0000  4 Si 3.00
Y: 0.5000 0.5000 0.0000  4 Si 3.00
In: 0.1737 0.3263 0.5000  6 Si 2.96-2.99
In: 0.3263 0.8263 0.5000  6 Si 2.96-2.99
In: 0.6737 0.1737 0.5000  6 Si 2.96-2.99
In: 0.8263 0.6737 0.5000  6 Si 2.96-2.99
Si: 0.1152 0.6152 0.0000  1 Si 2.43
Si: 0.3848 0.1152 0.0000  1 Si 2.43
Si: 0.6152 0.8848 0.0000  1 Si 2.43
Si: 0.8848 0.3848 0.0000  1 Si 2.43

Values from the calculation:
DFT total energy: -46.5 eV for the cell shown
Uncorrected formation energy: -94 meV per atom

=====

InCuSe2: optimized geometry, PBE-GGA.

abc: 4.8641 4.8641 4.8641
angles: 60.00 60.00 60.00
With the nearest neighbours (Å) after each atom.
Atoms (fractional coordinates):
In: 0.0000 0.0000 0.0000  4 Se 2.98, 4 Cu 2.98
Cu: 0.2500 0.2500 0.2500  4 In 2.98, 4 Se 2.98
Se: 0.5000 0.5000 0.5000  4 Se 2.98, 4 Cu 2.98
Se: 0.7500 0.7500 0.7500  4 In 2.98, 4 Se 2.98

Values from the calculation:
DFT total energy: -12.5 eV for the cell shown
Uncorrected formation energy: 328 meV per atom

=====

K3CaTa2O8: optimized geometry, PBE-GGA.

abc: 6.2126 6.2126 7.8373
angles: 90.00 90.00 120.00
With the nearest neighbours (Å) after each atom.
Atoms (fractional coordinates):
K: 0.0000 0.0000 0.0000  6 O 3.08
K: 0.3333 0.6667 0.6633  1 O 2.54
K: 0.6667 0.3333 0.3367  1 O 2.54
Ca: 0.0000 0.0000 0.5000  6 O 2.35
Ta: 0.3333 0.6667 0.2256  4 O 1.87
Ta: 0.6667 0.3333 0.7744  4 O 1.87
O: 0.1720 0.3441 0.3144  1 Ta 1.87
O: 0.1720 0.8280 0.3144  1 Ta 1.87
O: 0.3333 0.6667 0.9875  1 Ta 1.87
O: 0.3441 0.1720 0.6856  1 Ta 1.87
O: 0.6559 0.8280 0.3144  1 Ta 1.87
O: 0.6667 0.3333 0.0125  1 Ta 1.87
O: 0.8280 0.1720 0.6856  1 Ta 1.87
O: 0.8280 0.6559 0.6856  1 Ta 1.87

Values from the calculation:
DFT total energy: -102.4 eV for the cell shown
Uncorrected formation energy: -2411 meV per atom

=====

SrAs3Ru: optimized geometry, PBE-GGA.

abc: 5.4837 5.4837 5.4837
angles: 90.00 90.00 90.00
With the nearest neighbours (Å) after each atom.
Atoms (fractional coordinates):
Sr: 0.0000 0.0000 0.0000  6 As 2.74
As: 0.0000 0.0000 0.5000  2 Sr 2.74
As: 0.0000 0.5000 0.0000  2 Sr 2.74
As: 0.5000 0.0000 0.0000  2 Sr 2.74
Ru: 0.5000 0.5000 0.5000  12 As 3.88

Values from the calculation:
DFT total energy: -16.2 eV for the cell shown
DFT formation energy: 8.8 eV/f.u.

=====

Sr2ScMo: optimized geometry, PBE-GGA.

abc: 6.2518 6.2518 3.2915
angles: 90.00 90.00 117.88
With the nearest neighbours (Å) after each atom.
Atoms (fractional coordinates):
Sr: 0.0000 0.5000 0.0000  4 Sr 3.23-3.29, 4 Mo 3.53, 4 Sc 3.53
Sr: 0.5000 0.0000 0.0000  4 Sr 3.23-3.29, 4 Mo 3.53, 4 Sc 3.53
Sc: 0.0000 0.0000 0.5000  2 Mo 3.23, 2 Sc 3.29, 8 Sr 3.53
Mo: 0.5000 0.5000 0.5000  2 Sc 3.23, 2 Mo 3.29, 8 Sr 3.53

Values from the calculation:
DFT total energy: -16.7 eV for the cell shown
DFT formation energy: 3.8 eV/f.u.

=====

YSbMoI2: optimized geometry, PBE-GGA.

abc: 5.4207 5.4207 5.4948
angles: 90.00 90.00 90.00
With the nearest neighbours (Å) after each atom.
Atoms (fractional coordinates):
Y: 0.0000 0.0000 0.0000  4 Sb 3.83, 8 I 3.86
Sb: 0.5000 0.5000 0.0000  2 Mo 2.75
Mo: 0.5000 0.5000 0.5000  4 I 2.71, 2 Sb 2.75
I: 0.0000 0.5000 0.5000  2 Mo 2.71
I: 0.5000 0.0000 0.5000  2 Mo 2.71

Values from the calculation:
DFT total energy: -22.7 eV for the cell shown
Uncorrected formation energy: 373 meV per atom

=====

NiAg2Pb: optimized geometry, PBE-GGA.

abc: 4.0196 4.0359 4.5149
angles: 90.00 90.00 90.00
With the nearest neighbours (Å) after each atom.
Atoms (fractional coordinates):
Ni: 0.0000 0.0000 0.0000  4 Pb 2.85, 8 Ag 3.02-3.03
Ag: 0.0000 0.5000 0.5000  4 Ag 2.85, 4 Pb 3.02, 4 Ni 3.03
Ag: 0.5000 0.0000 0.5000  4 Ag 2.85, 4 Ni 3.02, 4 Pb 3.03
Pb: 0.5000 0.5000 0.0000  4 Ni 2.85, 8 Ag 3.02-3.03

Values from the calculation:
DFT total energy: -14.2 eV for the cell shown
DFT formation energy: 1.0 eV/f.u.

=====

Pr2As3Pd2: optimized geometry, PBE-GGA.

abc: 9.5746 9.5746 7.5163
angles: 90.00 90.00 154.13
With the nearest neighbours (Å) after each atom.
Atoms (fractional coordinates):
Pr: 0.0573 0.9427 0.7500  5 As 3.07-3.14
Pr: 0.1489 0.8511 0.2500  6 As 3.07-3.18, 6 Pd 3.20-3.28
Pr: 0.8511 0.1489 0.7500  6 As 3.07-3.18, 6 Pd 3.20-3.28
Pr: 0.9427 0.0573 0.2500  5 As 3.07-3.14
As: 0.2253 0.7747 0.7500  6 Pd 2.64-2.71
As: 0.4332 0.5668 0.5412  1 Pd 2.56, 1 As 2.57
As: 0.4332 0.5668 0.9588  1 Pd 2.56, 1 As 2.57
As: 0.5668 0.4332 0.0412  1 Pd 2.56, 1 As 2.57
As: 0.5668 0.4332 0.4588  1 Pd 2.56, 1 As 2.57
As: 0.7747 0.2253 0.2500  6 Pd 2.64-2.71
Pd: 0.3016 0.6984 0.0565  4 As 2.56-2.71
Pd: 0.3016 0.6984 0.4435  4 As 2.56-2.71
Pd: 0.6984 0.3016 0.5565  4 As 2.56-2.71
Pd: 0.6984 0.3016 0.9435  4 As 2.56-2.71

Values from the calculation:
DFT total energy: -81.1 eV for the cell shown
DFT formation energy: -6.6 eV/f.u.

=====

Ge2CBr: optimized geometry, PBE-GGA.

abc: 5.9294 5.9294 5.9294
angles: 113.92 113.92 100.89
With the nearest neighbours (Å) after each atom.
Atoms (fractional coordinates):
Ge: 0.0180 0.6250 0.8930  2 C 2.09
Ge: 0.3750 0.2680 0.3930  2 C 2.09
Ge: 0.7320 0.1250 0.1070  2 C 2.09
Ge: 0.8750 0.9820 0.6070  2 C 2.09
C: 0.0000 0.0000 0.0000  4 Ge 2.09
C: 0.7500 0.2500 0.5000  4 Ge 2.09
Br: 0.2500 0.7500 0.5000  4 Ge 2.97
Br: 0.5000 0.5000 0.0000  4 Ge 2.97

Values from the calculation:
DFT total energy: -34.6 eV for the cell shown
Uncorrected formation energy: 702 meV per atom

=====

CePaB12: optimized geometry, PBE-GGA.

abc: 4.0891 4.0891 8.1836
angles: 90.00 90.00 90.00
With the nearest neighbours (Å) after each atom.
Atoms (fractional coordinates):
Ce: 0.0000 0.0000 0.0000  24 B 3.00-3.01
Pa: 0.0000 0.0000 0.5000  24 B 2.99-3.00
B: 0.1976 0.5000 0.2517  5 B 1.62-1.75
B: 0.1976 0.5000 0.7483  5 B 1.62-1.75
B: 0.5000 0.1976 0.2517  5 B 1.62-1.75
B: 0.5000 0.1976 0.7483  5 B 1.62-1.75
B: 0.5000 0.5000 0.0996  5 B 1.63-1.75
B: 0.5000 0.5000 0.4020  5 B 1.60-1.74
B: 0.5000 0.5000 0.5980  5 B 1.60-1.74
B: 0.5000 0.5000 0.9004  5 B 1.63-1.75
B: 0.5000 0.8024 0.2517  5 B 1.62-1.75
B: 0.5000 0.8024 0.7483  5 B 1.62-1.75
B: 0.8024 0.5000 0.2517  5 B 1.62-1.75
B: 0.8024 0.5000 0.7483  5 B 1.62-1.75

Values from the calculation:
DFT total energy: -101.8 eV for the cell shown
DFT formation energy: -6.3 eV/f.u.

=====

NaTa2GeO8: optimized geometry, PBE-GGA.

abc: 4.7295 4.7295 6.3351
angles: 90.00 90.00 93.72
With the nearest neighbours (Å) after each atom.
Atoms (fractional coordinates):
Na: 0.0000 0.0000 0.0000  6 O 2.22-2.27
Ta: 0.5000 0.5000 0.2423  6 O 1.94-2.15
Ta: 0.5000 0.5000 0.7577  6 O 1.94-2.15
Ge: 0.0000 0.0000 0.5000  6 O 1.87-2.06
O: 0.2041 0.2041 0.2913  1 Ge 1.87, 1 Ta 1.94
O: 0.2041 0.2041 0.7087  1 Ge 1.87, 1 Ta 1.94
O: 0.2980 0.7020 0.5000  1 Ge 2.06, 2 Ta 2.15
O: 0.3211 0.6789 0.0000  2 Ta 1.97
O: 0.6789 0.3211 0.0000  2 Ta 1.97
O: 0.7020 0.2980 0.5000  1 Ge 2.06, 2 Ta 2.15
O: 0.7959 0.7959 0.2913  1 Ge 1.87, 1 Ta 1.94
O: 0.7959 0.7959 0.7087  1 Ge 1.87, 1 Ta 1.94

Values from the calculation:
DFT total energy: -95.3 eV for the cell shown
Uncorrected formation energy: -2164 meV per atom

=====

Please write out number 2 again, unchanged.
YIn2Si2: optimized geometry, PBE-GGA.

abc: 7.4652 7.4652 3.9738
angles: 90.00 90.00 90.00
With the nearest neighbours (Å) after each atom.
Atoms (fractional coordinates):
Y: 0.0000 0.0000 0.0000  4 Si 3.00
Y: 0.5000 0.5000 0.0000  4 Si 3.00
In: 0.1737 0.3263 0.5000  6 Si 2.96-2.99
In: 0.3263 0.8263 0.5000  6 Si 2.96-2.99
In: 0.6737 0.1737 0.5000  6 Si 2.96-2.99
In: 0.8263 0.6737 0.5000  6 Si 2.96-2.99
Si: 0.1152 0.6152 0.0000  1 Si 2.43
Si: 0.3848 0.1152 0.0000  1 Si 2.43
Si: 0.6152 0.8848 0.0000  1 Si 2.43
Si: 0.8848 0.3848 0.0000  1 Si 2.43

Values from the calculation:
DFT total energy: -46.5 eV for the cell shown
Uncorrected formation energy: -94 meV per atom